DFT (PBE-GGA) results for a relaxed K2CrFe crystal.

Summary:
Distance to the lowest polymorph of the same formula   188.8 meV/atom
SG   Imm2, No. 44
Energy of formation from the pure elements   0.98 eV per atom

a b c (Å): 6.7372 6.7372 6.7372
angles (deg): 147.66 126.63 63.80
Closest atoms and distances in Å follow each position.
Atoms (fractional coordinates):
K: 0.0000 0.0000 0.0000  4 Fe 3.70, 6 K 3.75-3.92, 4 Cr 3.80-3.90
K: 0.6991 0.1991 0.5000  4 Cr 3.74, 6 K 3.75-3.92, 4 Fe 3.79-3.88
Cr: 0.2986 0.7986 0.5000  2 Fe 2.28
Fe: 0.4117 0.4117 0.0000  2 Cr 2.28

DFT (PBE-GGA) results for a relaxed PdN3Cl crystal.

Summary:
SG   Pm-3m, No. 221
ΔE_f (raw)   2.86 eV/atom

a b c (Å): 3.7434 3.7434 3.7434
angles (deg): 90.00 90.00 90.00
Closest atoms and distances in Å follow each position.
Atoms (fractional coordinates):
Pd: 0.0000 0.0000 0.0000  12 N 2.65
N: 0.0000 0.5000 0.5000  2 Cl 1.87
N: 0.5000 0.0000 0.5000  2 Cl 1.87
N: 0.5000 0.5000 0.0000  2 Cl 1.87
Cl: 0.5000 0.5000 0.5000  6 N 1.87

DFT (PBE-GGA) results for a relaxed LaPr2Th crystal.

Summary:
Distance to the lowest polymorph of the same formula   84.5 meV/atom
SG   Pnma, No. 62
Energy of formation from the pure elements   0.12 eV per atom

a b c (Å): 12.1741 3.5494 13.0838
angles (deg): 90.00 90.00 90.00
Closest atoms and distances in Å follow each position.
Atoms (fractional coordinates):
La: 0.0232 0.2500 0.1317  2 Pr 3.37-3.46, 2 La 3.55, 2 Th 3.67
La: 0.4768 0.7500 0.6317  2 Pr 3.37-3.46, 2 La 3.55, 2 Th 3.67
La: 0.5232 0.2500 0.3683  2 Pr 3.37-3.46, 2 La 3.55, 2 Th 3.67
La: 0.9768 0.7500 0.8683  2 Pr 3.37-3.46, 2 La 3.55, 2 Th 3.67
Pr: 0.2166 0.7500 0.7388  2 La 3.37-3.46, 5 Pr 3.48-3.59, 2 Th 3.69
Pr: 0.2358 0.2500 0.5010  3 Th 3.48-3.58, 5 Pr 3.48-3.59, 2 La 3.83
Pr: 0.2642 0.7500 0.0010  3 Th 3.48-3.58, 5 Pr 3.48-3.59, 2 La 3.83
Pr: 0.2834 0.2500 0.2388  2 La 3.37-3.46, 5 Pr 3.48-3.59, 2 Th 3.69
Pr: 0.7166 0.7500 0.7612  2 La 3.37-3.46, 5 Pr 3.48-3.59, 2 Th 3.69
Pr: 0.7358 0.2500 0.9990  3 Th 3.48-3.58, 5 Pr 3.48-3.59, 2 La 3.83
Pr: 0.7642 0.7500 0.4990  3 Th 3.48-3.58, 5 Pr 3.48-3.59, 2 La 3.83
Pr: 0.7834 0.2500 0.2612  2 La 3.37-3.46, 5 Pr 3.48-3.59, 2 Th 3.69
Th: 0.0179 0.7500 0.3770  5 Pr 3.48-3.69, 4 Th 3.55-3.70, 2 La 3.67
Th: 0.4821 0.2500 0.8770  5 Pr 3.48-3.69, 4 Th 3.55-3.70, 2 La 3.67
Th: 0.5179 0.7500 0.1230  5 Pr 3.48-3.69, 4 Th 3.55-3.70, 2 La 3.67
Th: 0.9821 0.2500 0.6230  5 Pr 3.48-3.69, 4 Th 3.55-3.70, 2 La 3.67

DFT (PBE-GGA) results for a relaxed MnFeCu2 crystal.

Summary:
SG   Fm-3m, No. 225
Energy of formation from the pure elements   0.55 eV per atom

a b c (Å): 3.9991 3.9991 3.9991
angles (deg): 60.00 60.00 60.00
Closest atoms and distances in Å follow each position.
Atoms (fractional coordinates):
Mn: 0.0000 0.0000 0.0000  8 Cu 2.45
Fe: 0.5000 0.5000 0.5000  8 Cu 2.45
Cu: 0.2500 0.2500 0.2500  4 Fe 2.45, 4 Mn 2.45
Cu: 0.7500 0.7500 0.7500  4 Mn 2.45, 4 Fe 2.45

DFT (PBE-GGA) results for a relaxed AcSm5Dy5 crystal.

Summary:
SG   P-6m2, No. 187
Energy of formation from the pure elements   0.29 eV per atom

a b c (Å): 6.1936 6.1936 11.6889
angles (deg): 90.00 90.00 120.00
Closest atoms and distances in Å follow each position.
Atoms (fractional coordinates):
Ac: 0.0000 0.0000 0.0000  5 Sm 3.58-3.88
Sm: 0.0000 0.0000 0.3322  9 Dy 3.66-3.67, 1 Ac 3.88, 1 Sm 3.92
Sm: 0.0000 0.0000 0.6678  9 Dy 3.66-3.67, 1 Ac 3.88, 1 Sm 3.92
Sm: 0.3333 0.6667 0.1605  7 Sm 3.75-4.10, 3 Dy 3.78, 3 Ac 4.04
Sm: 0.3333 0.6667 0.8395  7 Sm 3.75-4.10, 3 Dy 3.78, 3 Ac 4.04
Sm: 0.6667 0.3333 0.0000  2 Dy 3.10
Dy: 0.0001 0.5000 0.5000  6 Dy 3.10-3.27
Dy: 0.5000 0.9999 0.5000  6 Dy 3.10-3.27
Dy: 0.5000 0.5000 0.5000  6 Dy 3.10-3.27
Dy: 0.6667 0.3333 0.2656  1 Sm 3.10, 3 Dy 3.27
Dy: 0.6667 0.3333 0.7344  1 Sm 3.10, 3 Dy 3.27

DFT (PBE-GGA) results for a relaxed CeEr3In3 crystal.

Summary:
SG   P6_3/m, No. 176
Energy of formation from the pure elements   -0.30 eV per atom

a b c (Å): 9.3054 9.3054 5.2221
angles (deg): 90.00 90.00 120.00
Closest atoms and distances in Å follow each position.
Atoms (fractional coordinates):
Ce: 0.3333 0.6667 0.2500  9 In 3.38-3.43, 3 Er 3.65
Ce: 0.6667 0.3333 0.7500  9 In 3.38-3.43, 3 Er 3.65
Er: 0.0040 0.7719 0.2500  4 In 3.10-3.35, 4 Er 3.38
Er: 0.2281 0.2321 0.2500  4 In 3.10-3.35, 4 Er 3.38
Er: 0.2321 0.0040 0.7500  4 In 3.10-3.35, 4 Er 3.38
Er: 0.7679 0.9960 0.2500  4 In 3.10-3.35, 4 Er 3.38
Er: 0.7719 0.7679 0.7500  4 In 3.10-3.35, 4 Er 3.38
Er: 0.9960 0.2281 0.7500  4 In 3.10-3.35, 4 Er 3.38
In: 0.0747 0.6211 0.7500  4 Er 3.10-3.35, 2 In 3.27, 3 Ce 3.38-3.43
In: 0.3789 0.4537 0.7500  4 Er 3.10-3.35, 2 In 3.27, 3 Ce 3.38-3.43
In: 0.4537 0.0747 0.2500  4 Er 3.10-3.35, 2 In 3.27, 3 Ce 3.38-3.43
In: 0.5463 0.9253 0.7500  4 Er 3.10-3.35, 2 In 3.27, 3 Ce 3.38-3.43
In: 0.6211 0.5463 0.2500  4 Er 3.10-3.35, 2 In 3.27, 3 Ce 3.38-3.43
In: 0.9253 0.3789 0.2500  4 Er 3.10-3.35, 2 In 3.27, 3 Ce 3.38-3.43

DFT (PBE-GGA) results for a relaxed Rb3PuTh3Se8 crystal.

Summary:
SG   R-3m, No. 166
ΔE_f (raw)   -1.57 eV/atom

a b c (Å): 9.5611 9.5611 9.5611
angles (deg): 53.37 53.37 53.37
Closest atoms and distances in Å follow each position.
Atoms (fractional coordinates):
Rb: 0.0000 0.5000 0.5000  6 Se 3.46-3.52
Rb: 0.5000 0.0000 0.5000  6 Se 3.46-3.52
Rb: 0.5000 0.5000 0.0000  6 Se 3.46-3.52
Pu: 0.5000 0.5000 0.5000  6 Se 2.99
Th: 0.0000 0.0000 0.5000  6 Se 2.94-2.99
Th: 0.0000 0.5000 0.0000  6 Se 2.94-2.99
Th: 0.5000 0.0000 0.0000  6 Se 2.94-2.99
Se: 0.2275 0.7349 0.7349  2 Th 2.94, 1 Pu 2.99
Se: 0.2349 0.2349 0.2349  3 Th 2.99
Se: 0.2651 0.2651 0.7725  2 Th 2.94, 1 Pu 2.99
Se: 0.2651 0.7725 0.2651  2 Th 2.94, 1 Pu 2.99
Se: 0.7349 0.2275 0.7349  2 Th 2.94, 1 Pu 2.99
Se: 0.7349 0.7349 0.2275  2 Th 2.94, 1 Pu 2.99
Se: 0.7651 0.7651 0.7651  3 Th 2.99
Se: 0.7725 0.2651 0.2651  2 Th 2.94, 1 Pu 2.99

DFT (PBE-GGA) results for a relaxed PmCdNi2 crystal.

Summary:
Distance to the lowest polymorph of the same formula   0.0 meV/atom
SG   Pmma, No. 51
Energy of formation from the pure elements   -0.34 eV per atom

a b c (Å): 5.1020 4.0385 7.2179
angles (deg): 90.00 90.00 90.00
Closest atoms and distances in Å follow each position.
Atoms (fractional coordinates):
Pm: 0.2500 0.0000 0.2265  3 Ni 2.69-2.85
Pm: 0.7500 0.0000 0.7735  3 Ni 2.69-2.85
Cd: 0.2500 0.5000 0.8521  4 Ni 2.72-2.84
Cd: 0.7500 0.5000 0.1479  4 Ni 2.72-2.84
Ni: 0.0000 0.5000 0.5000  6 Ni 2.49-2.55
Ni: 0.2500 0.0000 0.5988  4 Ni 2.49, 1 Pm 2.69, 2 Cd 2.72
Ni: 0.5000 0.5000 0.5000  6 Ni 2.49-2.55
Ni: 0.7500 0.0000 0.4012  4 Ni 2.49, 1 Pm 2.69, 2 Cd 2.72

DFT (PBE-GGA) results for a relaxed NaLiPu2S4 crystal.

Summary:
SG   Cmcm, No. 63
ΔE_f (raw)   -1.52 eV/atom

a b c (Å): 6.8303 6.8303 13.8790
angles (deg): 90.00 90.00 145.78
Closest atoms and distances in Å follow each position.
Atoms (fractional coordinates):
Na: 0.1043 0.8957 0.7500  6 S 2.95-3.26
Na: 0.8957 0.1043 0.2500  6 S 2.95-3.26
Li: 0.1599 0.8401 0.2500  4 S 2.37-2.39
Li: 0.8401 0.1599 0.7500  4 S 2.37-2.39
Pu: 0.3673 0.6327 0.5616  6 S 2.74-2.79
Pu: 0.3673 0.6327 0.9384  6 S 2.74-2.79
Pu: 0.6327 0.3673 0.0616  6 S 2.74-2.79
Pu: 0.6327 0.3673 0.4384  6 S 2.74-2.79
S: 0.0000 0.0000 0.0000  4 Pu 2.79
S: 0.0000 0.0000 0.5000  4 Pu 2.79
S: 0.2656 0.7344 0.1110  1 Li 2.37
S: 0.2656 0.7344 0.3890  1 Li 2.37
S: 0.4388 0.5612 0.7500  2 Li 2.39
S: 0.5612 0.4388 0.2500  2 Li 2.39
S: 0.7344 0.2656 0.6110  1 Li 2.37
S: 0.7344 0.2656 0.8890  1 Li 2.37

DFT (PBE-GGA) results for a relaxed HfTiZn4 crystal.

Summary:
Distance to the lowest polymorph of the same formula   0.0 meV/atom
SG   F-43m, No. 216
Energy of formation from the pure elements   -0.20 eV per atom

a b c (Å): 5.1243 5.1243 5.1243
angles (deg): 60.00 60.00 60.00
Closest atoms and distances in Å follow each position.
Atoms (fractional coordinates):
Hf: 0.0000 0.0000 0.0000  12 Zn 3.00, 4 Ti 3.14
Ti: 0.7500 0.7500 0.7500  12 Zn 3.00, 4 Hf 3.14
Zn: 0.3752 0.3752 0.3752  6 Zn 2.56-2.57
Zn: 0.3752 0.3752 0.8744  6 Zn 2.56-2.57
Zn: 0.3752 0.8744 0.3752  6 Zn 2.56-2.57
Zn: 0.8744 0.3752 0.3752  6 Zn 2.56-2.57

DFT (PBE-GGA) results for a relaxed Pa2Ga3Rh2 crystal.

Summary:
SG   C2/m, No. 12
Energy of formation from the pure elements   -0.66 eV per atom

a b c (Å): 5.3579 5.3579 6.5945
angles (deg): 109.50 109.50 47.92
Closest atoms and distances in Å follow each position.
Atoms (fractional coordinates):
Pa: 0.1481 0.1481 0.2764  4 Rh 2.86-2.94, 3 Ga 3.06-3.13
Pa: 0.8519 0.8519 0.7236  4 Rh 2.86-2.94, 3 Ga 3.06-3.13
Ga: 0.3871 0.3871 0.0661  3 Rh 2.66-2.72, 2 Ga 2.66
Ga: 0.5000 0.5000 0.5000  2 Ga 2.66, 4 Rh 2.69
Ga: 0.6129 0.6129 0.9339  3 Rh 2.66-2.72, 2 Ga 2.66
Rh: 0.1461 0.1461 0.7087  5 Ga 2.66-2.72, 4 Pa 2.86-2.94
Rh: 0.8539 0.8539 0.2913  5 Ga 2.66-2.72, 4 Pa 2.86-2.94

DFT (PBE-GGA) results for a relaxed LiSmAlCo crystal.

Summary:
SG   F-43m, No. 216
Energy of formation from the pure elements   -0.16 eV per atom

a b c (Å): 4.5840 4.5840 4.5840
angles (deg): 60.00 60.00 60.00
Closest atoms and distances in Å follow each position.
Atoms (fractional coordinates):
Li: 0.0000 0.0000 0.0000  4 Al 2.81, 4 Sm 2.81
Sm: 0.7500 0.7500 0.7500  4 Li 2.81, 4 Co 2.81
Al: 0.2500 0.2500 0.2500  4 Co 2.81, 4 Li 2.81
Co: 0.5000 0.5000 0.5000  4 Al 2.81, 4 Sm 2.81